VASP calculation (PBE) on crystalline SrMnHg2 at its relaxed geometry.

The space group is F-43m (No. 216) and the conventional cell measures 7.368, 7.368 and 7.368 Å, with angles of 90.00, 90.00 and 90.00 degrees. Symmetry generates all atoms from Sr at (0.000, 0.000, 0.000), Mn at (0.250, 0.250, 0.250), Hg at (0.000, 0.000, 0.500) and Hg at (0.250, 0.250, 0.750).

As for the formation enthalpy at 0 K: 0.12 eV per atom.


VASP calculation (PBE) on crystalline SrMnHg2 at its relaxed geometry.

The space group is P4mm (No. 99) and the conventional cell measures 3.857, 3.857 and 7.139 Å, with angles of 90.00, 90.00 and 90.00 degrees. Symmetry generates all atoms from Sr at (0.000, 0.000, 0.000), Mn at (0.500, 0.500, 0.666), Hg at (0.000, 0.000, 0.535) and Hg at (0.500, 0.500, 0.269).

As for the formation enthalpy at 0 K: 0.06 eV per atom.


VASP calculation (PBE) on crystalline SrMn2Hg at its relaxed geometry.

The space group is R-3m (No. 166, hexagonal axes) and the conventional cell measures 3.3707, 3.3707 and 29.0615 Å, with angles of 90.00, 90.00 and 120.00 degrees. Symmetry generates all atoms from Sr at (0.0000, 0.0000, 0.0000), Mn at (0.0000, 0.0000, 0.2396) and Hg at (0.0000, 0.0000, 0.5000).

As for the formation enthalpy at 0 K: 0.71 eV per atom.


VASP calculation (PBE) on crystalline SrMnHg2 at its relaxed geometry.

The space group is P4/mmm (No. 123) and the conventional cell measures 3.621, 3.621 and 7.470 Å, with angles of 90.00, 90.00 and 90.00 degrees. Symmetry generates all atoms from Sr at (0.000, 0.000, 0.000), Mn at (0.000, 0.000, 0.500) and Hg at (0.500, 0.500, 0.297).

As for the formation enthalpy at 0 K: -0.05 eV per atom.


Please write out number 2 again, unchanged.
VASP calculation (PBE) on crystalline SrMnHg2 at its relaxed geometry.

The space group is P4mm (No. 99) and the conventional cell measures 3.857, 3.857 and 7.139 Å, with angles of 90.00, 90.00 and 90.00 degrees. Symmetry generates all atoms from Sr at (0.000, 0.000, 0.000), Mn at (0.500, 0.500, 0.666), Hg at (0.000, 0.000, 0.535) and Hg at (0.500, 0.500, 0.269).

As for the formation enthalpy at 0 K: 0.06 eV per atom.


Please write out number 2 again, unchanged.
VASP calculation (PBE) on crystalline SrMnHg2 at its relaxed geometry.

The space group is P4mm (No. 99) and the conventional cell measures 3.857, 3.857 and 7.139 Å, with angles of 90.00, 90.00 and 90.00 degrees. Symmetry generates all atoms from Sr at (0.000, 0.000, 0.000), Mn at (0.500, 0.500, 0.666), Hg at (0.000, 0.000, 0.535) and Hg at (0.500, 0.500, 0.269).

As for the formation enthalpy at 0 K: 0.06 eV per atom.